1.
! GaGeAu2S4 | Alexandria | PBE | relaxed; values from VASP
! raw formation energy: -160 meV per atom
! M_tot: 0.0 μB per formula unit
! symmetry: I-4 (82)
! V: 183.0 Å³/f.u.
&SYSTEM
  ibrav = 0, nat = 16, ntyp = 4
/
ATOMIC_SPECIES
Ga 69.72 Ga.upf
Ge 72.64 Ge.upf
Au 196.97 Au.upf
S 32.06 S.upf
ATOMIC_POSITIONS crystal
Ga 0.0000 0.0000 0.0000
Ga 0.5000 0.5000 0.5000
Ge 0.0000 0.5000 0.2500
Ge 0.5000 0.0000 0.7500
Au 0.0000 0.0000 0.5000
Au 0.0000 0.5000 0.7500
Au 0.5000 0.0000 0.2500
Au 0.5000 0.5000 0.0000
S 0.2315 0.2396 0.1205
S 0.2396 0.7685 0.8795
S 0.2604 0.7315 0.3795
S 0.2685 0.2604 0.6205
S 0.7315 0.7396 0.6205
S 0.7396 0.2685 0.3795
S 0.7604 0.2315 0.8795
S 0.7685 0.7604 0.1205
CELL_PARAMETERS angstrom
5.7249 0.0000 0.0000
0.0000 5.7249 0.0000
0.0000 0.0000 11.1662

***

2.
! GaGeAu2Se4 | Alexandria | PBE | relaxed; values from VASP
! raw formation energy: -175 meV per atom
! M_tot: 0.0 μB per formula unit
! symmetry: I-4 (82)
! V: 212.4 Å³/f.u.
&SYSTEM
  ibrav = 0, nat = 16, ntyp = 4
/
ATOMIC_SPECIES
Ga 69.72 Ga.upf
Ge 72.64 Ge.upf
Au 196.97 Au.upf
Se 78.96 Se.upf
ATOMIC_POSITIONS crystal
Ga 0.0000 0.0000 0.0000
Ga 0.5000 0.5000 0.5000
Ge 0.0000 0.5000 0.2500
Ge 0.5000 0.0000 0.7500
Au 0.0000 0.0000 0.5000
Au 0.0000 0.5000 0.7500
Au 0.5000 0.0000 0.2500
Au 0.5000 0.5000 0.0000
Se 0.2377 0.2409 0.1213
Se 0.2409 0.7623 0.8787
Se 0.2591 0.7377 0.3787
Se 0.2623 0.2591 0.6213
Se 0.7377 0.7409 0.6213
Se 0.7409 0.2623 0.3787
Se 0.7591 0.2377 0.8787
Se 0.7623 0.7591 0.1213
CELL_PARAMETERS angstrom
6.0116 0.0000 0.0000
0.0000 6.0116 0.0000
0.0000 0.0000 11.7552

***

3.
! Ga2SiGeAu | Alexandria | PBE | relaxed; values from VASP
! raw formation energy: 634 meV per atom
! M_tot: 0.0 μB per formula unit
! symmetry: P4/mmm (123)
! V: 113.7 Å³/f.u.
&SYSTEM
  ibrav = 0, nat = 5, ntyp = 4
/
ATOMIC_SPECIES
Ga 69.72 Ga.upf
Si 28.09 Si.upf
Ge 72.64 Ge.upf
Au 196.97 Au.upf
ATOMIC_POSITIONS crystal
Ga 0.0000 0.5000 0.0000
Ga 0.5000 0.0000 0.0000
Si 0.0000 0.0000 0.5000
Ge 0.0000 0.0000 0.0000
Au 0.5000 0.5000 0.5000
CELL_PARAMETERS angstrom
4.9109 0.0000 0.0000
0.0000 4.9109 0.0000
0.0000 0.0000 4.7157